Below is a geometry-optimized SiSbAu2 structure, with properties calculated at the PBEsol level.

* energy relative to the lowest polymorph listed for this composition: 0.74 eV per formula unit
* volume: 19.2 A^3/atom
* E_form (uncorrected): 4.16 kcal/mol of atoms
* E: -17.43 eV per formula unit

Cell lengths 3.1163, 4.0086, 6.1576 Å; angles 90.00, 90.00, 90.00 degrees
Closest atoms and distances in Å follow each position.
Space group Pmm2 (No. 25)
Unique sites:
1 Si 0.0000 0.0000 0.0000 x1  5 Au 2.52-2.67
2 Sb 0.5000 0.5000 0.6581 x1  6 Au 2.94-3.22, 2 Sb 3.12
3 Au 0.0000 0.0000 0.4092 x1  1 Si 2.52
4 Au 0.5000 0.5000 0.1355 x1  4 Si 2.67, 1 Sb 2.94